Density functional theory data (PBE-GGA) for crystalline NaZrO3 at its relaxed geometry.

As for the density: 3.75 g/cm3. As for the final energy: -7.16 eV per atom.

Cell: 5.9132 10.2930 4.9811 Å, 90.00 108.44 90.00°
Space group C2 (No. 5)
One atom of each set of equivalent atoms:
Na: 0.0000 0.0000 0.0000
Na: 0.0000 0.1502 0.5000
Zr: 0.0000 0.3664 0.0000
Zr: 0.0000 0.6709 0.0000
O: 0.1953 0.5174 0.2287
O: 0.2389 0.3138 0.7869
O: 0.2438 0.2075 0.2038